[1]
Here is a relaxed structure of Li4Pd2Au3 from Alexandria via LeMat-Bulk. Energies are from GGA-PBE.

Computed properties:
Fermi-level density of states: 0.247 states/eV per atom
Magnetic moment: 0.00 μB per cell
Energy: -64.060 eV per cell
Crystal system: monoclinic

Geometry as CIF:
```
data_Li4Pd2Au3
_chemical_formula_sum 'Li8 Pd4 Au6'
_symmetry_space_group_name_H-M 'C 1 2/m 1'
_symmetry_Int_Tables_number 12
_cell_length_a 11.9161
_cell_length_b 3.9839
_cell_length_c 6.1708
_cell_angle_alpha 90.00
_cell_angle_beta 107.72
_cell_angle_gamma 90.00
loop_
_symmetry_equiv_pos_as_xyz
'x,y,z'
'-x,-y,-z'
'-x,y,-z'
'x,-y,z'
'x+1/2,y+1/2,z'
'-x+1/2,-y+1/2,-z'
'-x+1/2,y+1/2,-z'
'x+1/2,-y+1/2,z'
loop_
_atom_site_label
_atom_site_type_symbol
_atom_site_fract_x
_atom_site_fract_y
_atom_site_fract_z
Li1 Li 0.0460 0.0000 0.3170
Li2 Li 0.2215 0.5000 0.3117
Pd1 Pd 0.1672 0.0000 0.0048
Au1 Au 0.0000 0.5000 0.0000
Au2 Au 0.1164 0.5000 0.6496
```

[2]
Here is a relaxed structure of AgRu3Cl from Alexandria via LeMat-Bulk. Energies are from GGA-PBE.

Computed properties:
Fermi-level density of states: 1.100 states/eV per atom
Magnetic moment: 8.17 μB per cell
Energy relative to the elements, uncorrected: 52.675 kcal/mol of atoms
Energy: -21.104 eV per cell
Crystal system: cubic

Geometry as CIF:
```
data_AgRu3Cl
_chemical_formula_sum 'Ag1 Ru3 Cl1'
_symmetry_space_group_name_H-M 'P m -3 m'
_symmetry_Int_Tables_number 221
_symmetry_space_group_name_Hall '-P 4 2 3'
_cell_length_a 4.9799
_cell_length_b 4.9799
_cell_length_c 4.9799
_cell_angle_alpha 90.00
_cell_angle_beta 90.00
_cell_angle_gamma 90.00
loop_
_atom_site_label
_atom_site_type_symbol
_atom_site_fract_x
_atom_site_fract_y
_atom_site_fract_z
Ag1 Ag 0.0000 0.0000 0.0000
Ru1 Ru 0.0000 0.0000 0.5000
Cl1 Cl 0.5000 0.5000 0.5000
```

[3]
Here is a relaxed structure of RbIr2OsCl from Alexandria via LeMat-Bulk. Energies are from GGA-PBE.

Computed properties:
Fermi-level density of states: 2.804 states/eV per atom
Magnetic moment: 0.17 μB per cell
Energy relative to the elements, uncorrected: 80.009 kcal/mol of atoms
Energy: -14.418 eV per cell
Crystal system: tetragonal

Geometry as CIF:
```
data_RbIr2OsCl
_chemical_formula_sum 'Rb1 Ir2 Os1 Cl1'
_symmetry_space_group_name_H-M 'P 4/m m m'
_symmetry_Int_Tables_number 123
_symmetry_space_group_name_Hall '-P 4 2'
_cell_length_a 4.8217
_cell_length_b 4.8217
_cell_length_c 5.1650
_cell_angle_alpha 90.00
_cell_angle_beta 90.00
_cell_angle_gamma 90.00
loop_
_atom_site_label
_atom_site_type_symbol
_atom_site_fract_x
_atom_site_fract_y
_atom_site_fract_z
Rb1 Rb 0.0000 0.0000 0.0000
Ir1 Ir 0.0000 0.5000 0.0000
Os1 Os 0.5000 0.5000 0.5000
Cl1 Cl 0.0000 0.0000 0.5000
```